The following is a GGA-PBE calculation of a geometry-optimized Tm4Cu2Sb structure, from the Alexandria database.

## Properties
**Energy relative to the elements, uncorrected**: -244 kJ/mol of formula units
**Volume**: 24.30 Å³ per atom
**Density**: 9.027 g cm⁻³

Geometry as POSCAR:
```
Tm4Cu2Sb
1.0
-3.826 -0.230 6.589
-3.074 -4.553 -5.284
7.136 -2.359 1.312
Tm Cu Sb
8 4 2
direct
0.992 0.254 0.392 Tm
0.388 0.497 0.238 Tm
0.863 0.599 0.610 Tm
0.747 0.138 0.737 Tm
0.399 0.008 0.262 Tm
0.259 0.150 0.763 Tm
0.503 0.742 0.891 Tm
0.848 0.612 0.109 Tm
0.507 0.375 0.632 Cu
0.742 0.876 0.367 Cu
0.625 0.257 0.133 Cu
0.126 0.492 0.868 Cu
0.250 0.750 0.499 Sb
0.999 0.000 0.999 Sb
```

---

The following is a GGA-PBE calculation of a geometry-optimized KHo2AgCl8 structure, from the Alexandria database.

## Properties
**Energy relative to the elements, uncorrected**: -2205 kJ/mol of formula units
**Volume**: 30.81 Å³ per atom
**Density**: 3.415 g cm⁻³

Geometry as POSCAR:
```
KHo2AgCl8
1.0
-1.501 6.500 1.596
-3.631 -1.470 5.338
6.703 0.401 4.671
K Ho Ag Cl
1 2 1 8
direct
0.000 0.000 0.500 K
0.500 0.500 0.757 Ho
0.500 0.500 0.243 Ho
0.000 0.000 0.000 Ag
0.185 0.749 0.226 Cl
0.645 0.710 0.000 Cl
0.815 0.251 0.226 Cl
0.815 0.251 0.774 Cl
0.355 0.290 0.000 Cl
0.185 0.749 0.774 Cl
0.638 0.702 0.500 Cl
0.362 0.298 0.500 Cl
```

---

The following is a GGA-PBE calculation of a geometry-optimized Cd2GaSi2 structure, from the Alexandria database.

## Properties
**Energy relative to the elements, uncorrected**: 146 kJ/mol of formula units
**Volume**: 20.24 Å³ per atom
**Density**: 5.755 g cm⁻³

Geometry as POSCAR:
```
Cd2GaSi2
1.0
6.637 0.000 0.000
0.000 6.637 0.000
0.000 0.000 4.594
Si Ga Cd
4 2 4
direct
0.374 0.874 0.000 Si
0.874 0.626 0.000 Si
0.626 0.126 0.000 Si
0.126 0.374 0.000 Si
0.000 0.000 0.000 Ga
0.500 0.500 0.000 Ga
0.191 0.691 0.500 Cd
0.691 0.809 0.500 Cd
0.809 0.309 0.500 Cd
0.309 0.191 0.500 Cd
```

---

The following is a GGA-PBE calculation of a geometry-optimized BIr structure, from the Alexandria database.

## Properties
**Volume**: 14.00 Å³ per atom
**Uncorrected energy**: -7.62 eV per atom
**Density**: 12.037 g cm⁻³

Geometry as POSCAR:
```
BIr
1.0
8.580 0.000 0.000
0.000 3.604 0.000
0.000 0.000 5.436
B Ir
6 6
direct
0.782 0.423 0.695 B
0.718 0.577 0.195 B
0.218 0.423 0.695 B
0.282 0.577 0.195 B
0.000 0.076 0.338 B
0.500 0.924 0.838 B
0.769 0.086 0.357 Ir
0.731 0.914 0.857 Ir
0.231 0.086 0.357 Ir
0.269 0.914 0.857 Ir
0.000 0.582 0.560 Ir
0.500 0.418 0.060 Ir
```

---

The following is a GGA-PBE calculation of a geometry-optimized Pu4GaOs2 structure, from the Alexandria database.

## Properties
**Volume**: 17.82 Å³ per atom
**Uncorrected energy**: -11.81 eV per atom
**Density**: 18.982 g cm⁻³

Geometry as POSCAR:
```
Pu4GaOs2
1.0
-1.958 -0.667 4.210
0.770 -3.993 2.339
4.844 1.134 5.045
Pu Ga Os
4 1 2
direct
0.421 0.421 0.737 Pu
0.281 0.281 0.156 Pu
0.719 0.719 0.844 Pu
0.579 0.579 0.263 Pu
0.000 0.000 0.000 Ga
0.141 0.141 0.576 Os
0.859 0.859 0.424 Os
```

---

The following is a GGA-PBE calculation of a geometry-optimized Er8Cu2Bi structure, from the Alexandria database.

## Properties
**Volume**: 27.48 Å³ per atom
**Uncorrected energy**: -4.55 eV per atom
**Density**: 9.197 g cm⁻³

Geometry as POSCAR:
```
Er8Cu2Bi
1.0
5.400 -0.080 -0.120
-1.005 7.883 -0.162
-1.005 -3.185 7.212
Er Cu Bi
8 2 1
direct
0.905 0.919 0.664 Er
0.905 0.664 0.919 Er
0.299 0.601 0.601 Er
0.500 0.754 0.246 Er
0.500 0.246 0.754 Er
0.701 0.399 0.399 Er
0.095 0.336 0.081 Er
0.095 0.081 0.336 Er
0.000 0.305 0.695 Cu
0.000 0.695 0.305 Cu
0.500 0.000 0.000 Bi
```

---

The following is a GGA-PBE calculation of a geometry-optimized InCuHg2 structure, from the Alexandria database.

## Properties
**Volume**: 21.85 Å³ per atom
**Uncorrected energy**: -1.71 eV per atom
**Density**: 11.011 g cm⁻³

Geometry as POSCAR:
```
InCuHg2
1.0
9.484 0.054 0.032
8.892 3.297 0.032
8.892 1.622 2.870
Cu Hg In
1 2 1
direct
0.750 0.750 0.750 Cu
0.012 0.012 0.012 Hg
0.488 0.488 0.488 Hg
0.250 0.250 0.250 In
```

---

The following is a GGA-PBE calculation of a geometry-optimized Sb4PRu structure, from the Alexandria database.

## Properties
**Energy relative to the elements, uncorrected**: 666 kJ/mol of formula units
**Volume**: 25.88 Å³ per atom
**Density**: 6.621 g cm⁻³

Geometry as POSCAR:
```
Sb4PRu
1.0
-4.588 -0.800 3.835
-3.981 4.441 0.909
-5.631 -0.521 -2.100
Sb P Ru
4 1 1
direct
0.875 0.375 0.375 Sb
0.375 0.375 0.875 Sb
0.375 0.875 0.375 Sb
0.375 0.375 0.375 Sb
0.750 0.750 0.750 P
0.000 0.000 0.000 Ru
```

---

The following is a GGA-PBE calculation of a geometry-optimized Mn2SiP structure, from the Alexandria database.

## Properties
**Energy relative to the elements, uncorrected**: -76 kJ/mol of formula units
**Volume**: 11.65 Å³ per atom
**Density**: 6.018 g cm⁻³

Geometry as POSCAR:
```
Mn2SiP
1.0
-3.095 0.221 -6.738
-1.042 -1.513 -7.187
-3.387 -2.421 -6.139
Mn P Si
2 1 1
direct
0.004 0.004 0.004 Mn
0.496 0.496 0.496 Mn
0.750 0.750 0.750 P
0.250 0.250 0.250 Si
```

---

The following is a GGA-PBE calculation of a geometry-optimized Ta4PRh structure, from the Alexandria database.

## Properties
**Volume**: 18.21 Å³ per atom
**Uncorrected energy**: -9.47 eV per atom
**Density**: 13.032 g cm⁻³

Geometry as POSCAR:
```
Ta4PRh
1.0
0.000 3.795 3.795
3.795 0.000 3.795
3.795 3.795 0.000
Ta P Rh
4 1 1
direct
0.625 0.625 0.126 Ta
0.625 0.126 0.625 Ta
0.625 0.625 0.625 Ta
0.126 0.625 0.625 Ta
0.250 0.250 0.250 P
0.000 0.000 0.000 Rh
```

---

The following is a GGA-PBE calculation of a geometry-optimized KZnSbI2 structure, from the Alexandria database.

## Properties
**Energy relative to the elements, uncorrected**: -155 kJ/mol of formula units
**Volume**: 39.02 Å³ per atom
**Energy above the most stable polymorph in this dataset**: 0.000 eV/atom
**Density**: 4.086 g cm⁻³

Geometry as POSCAR:
```
KZnSbI2
1.0
6.112 0.000 0.000
0.000 6.112 0.000
0.000 0.000 5.222
I Sb Zn K
2 1 1 1
direct
0.000 0.500 0.000 I
0.500 0.000 0.000 I
0.000 0.000 0.500 Sb
0.000 0.000 0.000 Zn
0.500 0.500 0.500 K
```

---

The following is a GGA-PBE calculation of a geometry-optimized Ta2AgRh structure, from the Alexandria database.

## Properties
**Volume**: 18.45 Å³ per atom
**Uncorrected energy**: -8.06 eV per atom
**Density**: 12.882 g cm⁻³

Geometry as POSCAR:
```
Ta2AgRh
1.0
-5.194 -5.034 1.233
4.513 -5.251 -2.430
0.612 -5.502 1.947
Rh Ag Ta
2 2 4
direct
0.500 0.500 0.000 Rh
0.250 0.750 0.500 Rh
0.000 0.000 0.000 Ag
0.750 0.250 0.500 Ag
0.592 0.125 0.250 Ta
0.158 0.625 0.250 Ta
0.375 0.408 0.750 Ta
0.875 0.842 0.750 Ta
```